CsMnSe2N after structural relaxation. Source: Alexandria via LeMat-Bulk, functional PBE.

Results
Relative energy among the computed polymorphs   0.0 meV per atom
Total energy   -25.2 eV per cell

a b c (Å): 5.740 5.740 3.542
angles (deg): 90.00 90.00 90.00
Space group P4/mmm (No. 123)
One atom of each set of equivalent atoms:
Cs (0.000, 0.000, 0.000)
Mn (0.500, 0.500, 0.500)
Se (0.000, 0.500, 0.500)
N (0.500, 0.500, 0.000)

***

CsNaMn3 after structural relaxation. Source: Alexandria via LeMat-Bulk, functional PBE.

Results
E_form   2.075 eV per atom
Total energy   -19.3 eV per cell

a b c (Å): 5.715 5.715 5.715
angles (deg): 90.00 90.00 90.00
Space group Pm-3m (No. 221)
One atom of each set of equivalent atoms:
Cs (0.000, 0.000, 0.000)
Na (0.500, 0.500, 0.500)
Mn (0.000, 0.000, 0.500)

***

CsNa2Mn after structural relaxation. Source: Alexandria via LeMat-Bulk, functional PBE.

Results
E_form   0.646 eV per atom
Total energy   -40.3 eV per cell

a b c (Å): 8.677 8.677 8.677
angles (deg): 90.00 90.00 90.00
Space group Fm-3m (No. 225)
One atom of each set of equivalent atoms:
Cs (0.000, 0.000, 0.000)
Na (0.250, 0.250, 0.250)
Mn (0.000, 0.000, 0.500)

***

CsNa3Mn after structural relaxation. Source: Alexandria via LeMat-Bulk, functional PBE.

Results
E_form   0.522 eV per atom
Total energy   -11.4 eV per cell

a b c (Å): 6.199 6.199 6.199
angles (deg): 90.00 90.00 90.00
Space group Pm-3m (No. 221)
One atom of each set of equivalent atoms:
Cs (0.000, 0.000, 0.000)
Na (0.000, 0.500, 0.500)
Mn (0.500, 0.500, 0.500)

***

Cs2NaMn after structural relaxation. Source: Alexandria via LeMat-Bulk, functional PBE.

Results
E_form   0.659 eV per atom
Total energy   -38.2 eV per cell

a b c (Å): 9.764 9.764 9.764
angles (deg): 90.00 90.00 90.00
Space group Fm-3m (No. 225)
One atom of each set of equivalent atoms:
Cs (0.250, 0.250, 0.250)
Na (0.000, 0.000, 0.000)
Mn (0.000, 0.000, 0.500)

***

> Which value of total energy does entry 5 give?

-38.2 eV per cell